A plane-wave DFT calculation with PBE-GGA was carried out for a geometry-optimized AlZnPt3 structure.

Unit cell a=4.552 b=4.552 c=4.552 alpha=90.00 beta=90.00 gamma=90.00
Positions (direct):
1 Al 0.000 0.000 0.000
2 Zn 0.500 0.500 0.500
3 Pt 0.000 0.000 0.500
4 Pt 0.000 0.500 0.000
5 Pt 0.500 0.000 0.000

## Properties
The value obtained for the formation energy is 0.28 eV/atom. The value obtained for the energy relative to the lowest polymorph listed for this composition is 0 meV/atom.

A plane-wave DFT calculation with PBE-GGA was carried out for a geometry-optimized Rb2CaSiF structure.

Unit cell a=4.994 b=4.994 c=7.595 alpha=90.00 beta=90.00 gamma=90.00
Positions (direct):
1 Rb 0.000 0.500 0.000
2 Rb 0.500 0.000 0.000
3 Ca 0.000 0.000 0.500
4 Si 0.500 0.500 0.500
5 F 0.500 0.500 0.000

## Properties
Its energy relative to the elements, uncorrected is -2.7 eV per formula unit.